No. 1
Hg2SbH: optimized geometry, PBE-GGA.

Cell lengths 4.972, 4.972, 4.972 Å; angles 60.00, 60.00, 60.00 degrees
Fractional positions:
Sb 0.500 0.500 0.500
Hg 0.250 0.250 0.250
Hg 0.750 0.750 0.750
H 0.000 0.000 0.000

* V: 86.9 Å³ per cell
* calculated total energy: -1.43 eV/atom
* ΔE to the lowest computed polymorph: 0.381 eV per atom
* space group: Fm-3m (225)

---

No. 2
HgSb2H: optimized geometry, PBE-GGA.

Cell lengths 5.295, 5.295, 8.010 Å; angles 70.70, 70.70, 90.00 degrees
Fractional positions:
Sb 0.507 0.125 0.250
Sb 0.243 0.625 0.250
Sb 0.375 0.493 0.750
Sb 0.875 0.757 0.750
Hg 0.000 0.000 0.000
Hg 0.750 0.250 0.500
H 0.500 0.500 0.000
H 0.250 0.750 0.500

* V: 198.6 Å³ per cell
* calculated total energy: -2.56 eV/atom
* ΔE to the lowest computed polymorph: 0.282 eV per atom
* space group: I-42d (122)

---

No. 3
HgSbHSe2: optimized geometry, PBE-GGA.

Cell lengths 5.277, 3.650, 5.277 Å; angles 90.00, 90.00, 90.00 degrees
Fractional positions:
Sb 0.000 0.500 0.000
Hg 0.500 0.500 0.500
Se 0.000 0.000 0.500
Se 0.500 0.000 0.000
H 0.000 0.000 0.000

* V: 101.6 Å³ per cell
* calculated total energy: -2.50 eV/atom
* space group: P4/mmm (123)

---

No. 4
Sr2HgSb2H2: optimized geometry, PBE-GGA.

Cell lengths 6.799, 4.787, 9.977 Å; angles 82.40, 90.00, 135.25 degrees
Fractional positions:
Sr 0.731 0.462 0.336
Sr 0.269 0.538 0.664
Hg 0.000 0.000 0.000
Sb 0.233 0.466 0.328
Sb 0.767 0.534 0.672
H 0.573 0.147 0.816
H 0.427 0.853 0.184

* V: 224.5 Å³ per cell
* calculated total energy: -3.03 eV/atom
* space group: C2/m (12)

---

No. 5
HgSbTe2H: optimized geometry, PBE-GGA.

Cell lengths 5.763, 5.763, 5.558 Å; angles 90.00, 90.00, 90.00 degrees
Fractional positions:
Sb 0.000 0.000 0.500
Te 0.000 0.500 0.000
Te 0.500 0.000 0.000
Hg 0.000 0.000 0.000
H 0.500 0.500 0.500

* V: 184.6 Å³ per cell
* calculated total energy: -1.73 eV/atom
* ΔE to the lowest computed polymorph: 0.662 eV per atom
* space group: P4/mmm (123)

---

No. 6
HgSbTe2H: optimized geometry, PBE-GGA.

Cell lengths 5.458, 5.458, 3.939 Å; angles 90.00, 90.00, 90.00 degrees
Fractional positions:
Sb 0.000 0.000 0.500
Te 0.000 0.500 0.000
Te 0.500 0.000 0.000
Hg 0.500 0.500 0.500
H 0.000 0.000 0.000

* V: 117.3 Å³ per cell
* calculated total energy: -2.40 eV/atom
* ΔE to the lowest computed polymorph: 0.000 eV per atom
* space group: P4/mmm (123)

---

No. 7
TiHgSbH2: optimized geometry, PBE-GGA.

Cell lengths 4.014, 5.539, 4.014 Å; angles 90.00, 90.00, 90.00 degrees
Fractional positions:
Sb 0.000 0.500 0.000
Hg 0.500 0.500 0.500
H 0.000 0.000 0.500
H 0.500 0.000 0.000
Ti 0.000 0.000 0.000

* V: 89.2 Å³ per cell
* calculated total energy: -3.63 eV/atom
* space group: P4/mmm (123)

---

No. 8
TiHgSb2H: optimized geometry, PBE-GGA.

Cell lengths 5.497, 5.341, 5.497 Å; angles 90.00, 90.00, 90.00 degrees
Fractional positions:
Sb 0.000 0.000 0.500
Sb 0.500 0.000 0.000
Hg 0.000 0.000 0.000
H 0.500 0.500 0.500
Ti 0.000 0.500 0.000

* V: 161.4 Å³ per cell
* calculated total energy: -2.53 eV/atom
* space group: P4/mmm (123)